1.
The following is a DFT calculation (PBE) of Nd7PS5 after structural relaxation.

Lattice parameters (Å, degrees): 13.3654 4.0247 24.0034 90.00 90.16 90.00
Closest atoms and distances in Å follow each position.
Space group Cm (No. 8)
Inequivalent atoms, fractional coordinates:
Nd  0.0000  0.0000  0.0000 [2 per cell]  6 S 2.80-2.88
Nd  0.9998  0.0000  0.4242 [2 per cell]  6 S 2.80-2.88
Nd  0.0470  0.5000  0.8473 [2 per cell]  5 S 2.86-3.00
Nd  0.0498  0.5000  0.5755 [2 per cell]  5 S 2.86-2.97
Nd  0.1038  0.0000  0.7119 [2 per cell]  2 S 2.78-2.79, 2 P 2.89
Nd  0.1718  0.0000  0.2122 [2 per cell]  2 S 2.78-2.79, 2 P 2.89
Nd  0.2269  0.5000  0.3482 [2 per cell]  5 S 2.86-2.98
Nd  0.2279  0.5000  0.0765 [2 per cell]  5 S 2.86-3.00
Nd  0.2751  0.0000  0.9242 [2 per cell]  6 S 2.80-2.87
Nd  0.2766  0.0000  0.5001 [2 per cell]  6 S 2.80-2.88
Nd  0.3304  0.5000  0.7824 [2 per cell]  3 S 2.82-2.89, 2 P 3.04
Nd  0.3322  0.5000  0.6420 [2 per cell]  3 S 2.82-2.88, 2 P 3.08
Nd  0.4440  0.0000  0.2822 [2 per cell]  3 S 2.82-2.88, 2 P 3.07
Nd  0.4448  0.0000  0.1418 [2 per cell]  3 S 2.82-2.89, 2 P 3.05
P  0.3272  0.5000  0.2109 [2 per cell]  6 Nd 2.89-3.07
P  0.4486  0.0000  0.7143 [2 per cell]  6 Nd 2.89-3.08
S  0.0848  0.0000  0.3176 [2 per cell]  6 Nd 2.79-2.88
S  0.0858  0.0000  0.1065 [2 per cell]  6 Nd 2.78-2.89
S  0.1375  0.5000  0.9620 [2 per cell]  6 Nd 2.87-3.00
S  0.1383  0.5000  0.4620 [2 per cell]  6 Nd 2.88-2.98
S  0.1894  0.0000  0.8177 [2 per cell]  6 Nd 2.78-2.89
S  0.1916  0.0000  0.6066 [2 per cell]  6 Nd 2.79-2.88
S  0.3614  0.0000  0.3902 [2 per cell]  6 Nd 2.82-2.88
S  0.3615  0.0000  0.0339 [2 per cell]  6 Nd 2.82-2.88
S  0.4137  0.5000  0.8902 [2 per cell]  6 Nd 2.82-2.88
S  0.4149  0.5000  0.5340 [2 per cell]  6 Nd 2.82-2.88

Formation energy (no corrections)   -1.77 eV/atom
Final energy   -6.34 eV per atom



2.
The following is a DFT calculation (PBE) of ZrSc2Se after structural relaxation.

Lattice parameters (Å, degrees): 3.3341 5.2095 10.1719 90.00 90.00 90.00
Closest atoms and distances in Å follow each position.
Space group Imm2 (No. 44)
Inequivalent atoms, fractional coordinates:
Zr  0.0000  0.0000  0.0000 [2 per cell]  2 Se 2.79
Sc  0.0000  0.0000  0.5633 [2 per cell]  2 Se 2.77
Sc  0.0000  0.5000  0.7742 [2 per cell]  4 Se 3.09, 2 Zr 3.25, 6 Sc 3.33-3.38
Se  0.0000  0.5000  0.2806 [2 per cell]  6 Sc 2.77-3.09, 2 Zr 2.79

Formation energy (no corrections)   -0.49 eV/atom
Final energy   -6.67 eV per atom



3.
The following is a DFT calculation (PBE) of TmMgP2 after structural relaxation.

Lattice parameters (Å, degrees): 3.9790 3.9790 17.9645 90.00 90.00 120.00
Closest atoms and distances in Å follow each position.
Space group R3m (No. 160, hexagonal axes)
Inequivalent atoms, fractional coordinates:
Tm  0.0000  0.0000  0.0000 [3 per cell]  6 P 2.78-2.80
Mg  0.0000  0.0000  0.1745 [3 per cell]  6 P 2.64-2.76
P  0.0000  0.0000  0.4228 [3 per cell]  3 Mg 2.76, 3 Tm 2.80, 1 P 2.82
P  0.0000  0.0000  0.5798 [3 per cell]  3 Mg 2.64, 3 Tm 2.78, 1 P 2.82

Calculated formation energy   -865 meV per atom
Final energy   -5.09 eV per atom



4.
The following is a DFT calculation (PBE) of CdAg2H2 after structural relaxation.

Lattice parameters (Å, degrees): 6.1246 6.1246 3.9298 90.00 90.00 90.00
Closest atoms and distances in Å follow each position.
Space group P4/mbm (No. 127)
Inequivalent atoms, fractional coordinates:
Cd  0.0000  0.0000  0.0000 [2 per cell]  4 H 2.17
Ag  0.2484  0.2516  0.5000 [4 per cell]  2 H 1.96
H  0.2482  0.2518  0.0000 [4 per cell]  2 Ag 1.96, 2 Cd 2.17

Final energy   -2.38 eV per atom



5.
The following is a DFT calculation (PBE) of LiBP2O after structural relaxation.

Lattice parameters (Å, degrees): 5.2687 5.2687 2.5779 90.00 90.00 90.00
Closest atoms and distances in Å follow each position.
Space group P4/mmm (No. 123)
Inequivalent atoms, fractional coordinates:
Li  0.0000  0.0000  0.0000 [1 per cell]  2 Li 2.58
B  0.5000  0.5000  0.5000 [1 per cell]  2 O 1.29
P  0.0000  0.5000  0.5000 [2 per cell]  2 P 2.58, 2 B 2.63
O  0.5000  0.5000  0.0000 [1 per cell]  2 B 1.29

Formation energy (no corrections)   -0.10 eV/atom
Final energy   -4.98 eV per atom



6.
The following is a DFT calculation (PBE) of CePmSnHg after structural relaxation.

Lattice parameters (Å, degrees): 3.8529 3.8529 7.6390 90.00 90.00 90.00
Closest atoms and distances in Å follow each position.
Space group P4mm (No. 99)
Inequivalent atoms, fractional coordinates:
Ce  0.0000  0.0000  0.0000 [1 per cell]  4 Sn 3.34, 4 Hg 3.36
Pm  0.0000  0.0000  0.5006 [1 per cell]  4 Hg 3.29, 4 Sn 3.32
Sn  0.5000  0.5000  0.7481 [1 per cell]  4 Pm 3.32, 4 Ce 3.34
Hg  0.5000  0.5000  0.2585 [1 per cell]  4 Pm 3.29, 4 Ce 3.36

Calculated formation energy   -498 meV per atom
Final energy   -4.25 eV per atom



7.
The following is a DFT calculation (PBE) of HgPtSe3 after structural relaxation.

Lattice parameters (Å, degrees): 5.0233 5.0233 5.0233 90.00 90.00 90.00
Closest atoms and distances in Å follow each position.
Space group Pm-3m (No. 221)
Inequivalent atoms, fractional coordinates:
Hg  0.0000  0.0000  0.0000 [1 per cell]  12 Se 3.55
Pt  0.5000  0.5000  0.5000 [1 per cell]  6 Se 2.51
Se  0.0000  0.5000  0.5000 [3 per cell]  2 Pt 2.51

Formation energy (no corrections)   0.42 eV/atom
Final energy   -2.94 eV per atom



8.
The following is a DFT calculation (PBE) of Mn5TcMo after structural relaxation.

Lattice parameters (Å, degrees): 7.7278 4.6031 9.8447 90.00 90.00 90.00
Closest atoms and distances in Å follow each position.
Space group Pnma (No. 62)
Inequivalent atoms, fractional coordinates:
Mn  0.0494  0.2500  0.0834 [4 per cell]  1 Tc 2.39, 4 Mn 2.50-2.57
Mn  0.0720  0.5077  0.3114 [8 per cell]  6 Mn 2.23-2.44
Mn  0.0920  0.7500  0.5225 [4 per cell]  5 Mn 2.36-2.39
Mn  0.1928  0.7500  0.7484 [4 per cell]  6 Mn 2.26-2.50
Tc  0.1354  0.2500  0.8501 [4 per cell]  7 Mn 2.39-2.55
Mo  0.2473  0.7500  0.0645 [4 per cell]  8 Mn 2.65-2.96, 1 Tc 2.95

Calculated formation energy   67 meV per atom
Final energy   -9.51 eV per atom



9.
The following is a DFT calculation (PBE) of Sm5TmAg4 after structural relaxation.

Lattice parameters (Å, degrees): 3.6757 3.6757 19.9541 90.00 90.00 90.00
Closest atoms and distances in Å follow each position.
Space group P4/mmm (No. 123)
Inequivalent atoms, fractional coordinates:
Sm  0.0000  0.0000  0.0000 [1 per cell]  8 Ag 3.21
Sm  0.0000  0.0000  0.1896 [2 per cell]  8 Ag 3.21-3.22
Sm  0.0000  0.0000  0.3779 [2 per cell]  4 Ag 3.20, 4 Tm 3.56
Tm  0.5000  0.5000  0.5000 [1 per cell]  8 Sm 3.56, 4 Tm 3.68
Ag  0.5000  0.5000  0.0942 [2 per cell]  8 Sm 3.21-3.22
Ag  0.5000  0.5000  0.2844 [2 per cell]  8 Sm 3.20-3.21

Calculated formation energy   -210 meV per atom
Final energy   -4.16 eV per atom



10.
The following is a DFT calculation (PBE) of RuW3I after structural relaxation.

Lattice parameters (Å, degrees): 4.8012 4.8012 4.8012 90.00 90.00 90.00
Closest atoms and distances in Å follow each position.
Space group Pm-3m (No. 221)
Inequivalent atoms, fractional coordinates:
Ru  0.0000  0.0000  0.0000 [1 per cell]  12 W 3.39
W  0.0000  0.5000  0.5000 [3 per cell]  2 I 2.40
I  0.5000  0.5000  0.5000 [1 per cell]  6 W 2.40

Formation energy (no corrections)   3.13 eV/atom
Final energy   -6.81 eV per atom



11.
The following is a DFT calculation (PBE) of CaEr2Pt after structural relaxation.

Lattice parameters (Å, degrees): 3.5110 3.5110 9.3211 90.00 90.00 90.00
Closest atoms and distances in Å follow each position.
Space group P4/mmm (No. 123)
Inequivalent atoms, fractional coordinates:
Ca  0.0000  0.0000  0.0000 [1 per cell]  4 Ca 3.51, 8 Er 3.91
Er  0.5000  0.5000  0.3245 [2 per cell]  4 Pt 2.97, 1 Er 3.27
Pt  0.0000  0.0000  0.5000 [1 per cell]  8 Er 2.97

Calculated formation energy   -588 meV per atom
Final energy   -4.88 eV per atom



12.
The following is a DFT calculation (PBE) of BaLa2Ag after structural relaxation.

Lattice parameters (Å, degrees): 4.0237 5.9209 12.0225 90.00 90.00 90.00
Closest atoms and distances in Å follow each position.
Space group Imm2 (No. 44)
Inequivalent atoms, fractional coordinates:
Ba  0.0000  0.0000  0.0000 [2 per cell]  2 Ag 3.39, 4 La 3.68
La  0.0000  0.0000  0.4285 [2 per cell]  2 Ag 3.15
La  0.0000  0.5000  0.2092 [2 per cell]  4 Ag 3.59, 2 Ba 3.88, 4 La 3.93-3.96
Ag  0.0000  0.5000  0.7273 [2 per cell]  2 La 3.15, 2 Ba 3.39

Calculated formation energy   47 meV per atom
Final energy   -3.61 eV per atom



13.
The following is a DFT calculation (PBE) of NdDy2Hg6 after structural relaxation.

Lattice parameters (Å, degrees): 4.5521 4.5521 25.6901 90.00 90.00 90.00
Closest atoms and distances in Å follow each position.
Space group I4/mmm (No. 139)
Inequivalent atoms, fractional coordinates:
Nd  0.0000  0.0000  0.0000 [2 per cell]  8 Hg 3.20
Dy  0.0000  0.0000  0.3315 [4 per cell]  8 Hg 3.09
Hg  0.0000  0.5000  0.0873 [8 per cell]  2 Dy 3.09, 2 Nd 3.20, 4 Hg 3.22
Hg  0.0000  0.5000  0.2500 [4 per cell]  4 Dy 3.09, 4 Hg 3.22

Calculated formation energy   -172 meV per atom
Final energy   -1.93 eV per atom



14.
The following is a DFT calculation (PBE) of CaScV2Sb after structural relaxation.

Lattice parameters (Å, degrees): 4.6992 4.6992 5.4742 90.00 90.00 90.00
Closest atoms and distances in Å follow each position.
Space group P4/mmm (No. 123)
Inequivalent atoms, fractional coordinates:
Ca  0.0000  0.0000  0.0000 [1 per cell]  2 Sc 2.74
Sc  0.0000  0.0000  0.5000 [1 per cell]  4 V 2.35
V  0.0000  0.5000  0.5000 [2 per cell]  2 Sc 2.35
Sb  0.5000  0.5000  0.0000 [1 per cell]  4 Ca 3.32, 8 V 3.61

Formation energy (no corrections)   1.18 eV/atom
Final energy   -4.96 eV per atom



15.
The following is a DFT calculation (PBE) of Li2TaPd after structural relaxation.

Lattice parameters (Å, degrees): 6.9875 6.9875 5.1626 90.00 90.00 90.00
Closest atoms and distances in Å follow each position.
Space group I-42d (No. 122)
Inequivalent atoms, fractional coordinates:
Li  0.2183  0.7500  0.1250 [8 per cell]  2 Pd 2.41, 2 Li 2.62
Ta  0.0000  0.0000  0.5000 [4 per cell]  2 Pd 2.58, 4 Li 2.71
Pd  0.0000  0.0000  0.0000 [4 per cell]  4 Li 2.41, 2 Ta 2.58

Calculated formation energy   513 meV per atom
Final energy   -4.71 eV per atom



16.
The following is a DFT calculation (PBE) of YMg3Si after structural relaxation.

Lattice parameters (Å, degrees): 5.0620 5.0620 5.0620 90.00 90.00 90.00
Closest atoms and distances in Å follow each position.
Space group Pm-3m (No. 221)
Inequivalent atoms, fractional coordinates:
Y  0.0000  0.0000  0.0000 [1 per cell]  12 Mg 3.58
Mg  0.0000  0.5000  0.5000 [3 per cell]  2 Si 2.53
Si  0.5000  0.5000  0.5000 [1 per cell]  6 Mg 2.53

Formation energy (no corrections)   0.22 eV/atom
Final energy   -3.11 eV per atom



17.
The following is a DFT calculation (PBE) of HgIF after structural relaxation.

Lattice parameters (Å, degrees): 6.2425 11.8237 4.2352 90.00 90.00 90.00
Closest atoms and distances in Å follow each position.
Space group Cmcm (No. 63)
Inequivalent atoms, fractional coordinates:
Hg  0.0000  0.1486  0.2500 [4 per cell]  3 F 2.33-2.53
I  0.0000  0.3417  0.7500 [4 per cell]  4 Hg 3.11-3.12, 1 F 3.26
F  0.0000  0.0656  0.7500 [4 per cell]  3 Hg 2.33-2.53

Formation energy (no corrections)   -0.77 eV/atom
Final energy   -2.02 eV per atom



18.
The following is a DFT calculation (PBE) of Sm4Y3Er2 after structural relaxation.

Lattice parameters (Å, degrees): 16.7832 11.6837 6.0053 90.00 97.16 90.00
Closest atoms and distances in Å follow each position.
Space group C2/c (No. 15)
Inequivalent atoms, fractional coordinates:
Sm  0.0637  0.1112  0.0469 [8 per cell]  3 Sm 3.37-3.48, 4 Y 3.41-3.53, 1 Er 3.64
Sm  0.2272  0.3899  0.8842 [8 per cell]  2 Er 3.28-3.42, 4 Y 3.41-3.51, 2 Sm 3.48-3.60
Y  0.0000  0.3495  0.7500 [4 per cell]  2 Sm 3.41, 6 Er 3.45-3.54
Y  0.1686  0.1513  0.5810 [8 per cell]  7 Sm 3.41-3.53, 1 Er 3.42, 1 Y 3.79
Er  0.1026  0.3934  0.2940 [8 per cell]  3 Sm 3.28-3.64, 1 Er 3.42, 4 Y 3.42-3.54

Calculated formation energy   92 meV per atom
Final energy   -5.17 eV per atom